# GdSc3O (PBE, optimized geometry)
# - Magnetic moment: 8.59 μB per formula unit
# - VASP energy: -8.62 eV/atom
# - Energy relative to the elements, uncorrected: -1011 meV/atom
data_GdSc3O
_symmetry_space_group_name_H-M 'P m -3 m'
_symmetry_Int_Tables_number 221
_symmetry_space_group_name_Hall '-P 4 2 3'
_cell_length_a 4.647
_cell_length_b 4.647
_cell_length_c 4.647
_cell_angle_alpha 90.00
_cell_angle_beta 90.00
_cell_angle_gamma 90.00
loop_
_atom_site_label
_atom_site_type_symbol
_atom_site_fract_x
_atom_site_fract_y
_atom_site_fract_z
_atom_site_occupancy
Gd1 Gd 0.000 0.000 0.000 1
Sc1 Sc 0.000 0.500 0.500 1
O1 O 0.500 0.500 0.500 1

=====

# RbBe8As6 (PBE, optimized geometry)
# - Magnetic moment: 0.00 μB per formula unit
# - VASP energy: -4.03 eV/atom
# - Formation energy from the elements: -0.1180 eV/atom
data_RbBe8As6
_symmetry_space_group_name_H-M 'R -3'
_symmetry_Int_Tables_number 148
_symmetry_space_group_name_Hall '-R 3'
_cell_length_a 9.8088
_cell_length_b 9.8088
_cell_length_c 10.0942
_cell_angle_alpha 90.00
_cell_angle_beta 90.00
_cell_angle_gamma 120.00
loop_
_atom_site_label
_atom_site_type_symbol
_atom_site_fract_x
_atom_site_fract_y
_atom_site_fract_z
_atom_site_occupancy
Rb1 Rb 0.0000 0.0000 0.0000 1
Be1 Be 0.0000 0.0000 0.3314 1
Be2 Be 0.0442 0.8022 0.4281 1
As1 As 0.0428 0.8001 0.6541 1

=====

# Fe3HRh (PBE, optimized geometry)
# - Magnetic moment: 7.77 μB per formula unit
# - VASP energy: -7.17 eV/atom
# - Energy above the most stable polymorph in this dataset: 0.020 eV/atom
data_Fe3HRh
_symmetry_space_group_name_H-M 'P 1 21/c 1'
_symmetry_Int_Tables_number 14
_cell_length_a 6.788
_cell_length_b 4.559
_cell_length_c 6.811
_cell_angle_alpha 90.00
_cell_angle_beta 99.80
_cell_angle_gamma 90.00
loop_
_symmetry_equiv_pos_as_xyz
'x,y,z'
'-x,-y,-z'
'-x,y+1/2,-z+1/2'
'x,-y+1/2,z+1/2'
loop_
_atom_site_label
_atom_site_type_symbol
_atom_site_fract_x
_atom_site_fract_y
_atom_site_fract_z
_atom_site_occupancy
Fe1 Fe 0.062 0.082 0.189 1
Fe2 Fe 0.192 0.582 0.070 1
Fe3 Fe 0.315 0.090 0.943 1
H1 H 0.061 0.246 0.439 1
Rh1 Rh 0.434 0.591 0.812 1

=====

# Y2SnGe3Rh4 (PBE, optimized geometry)
# - Magnetic moment: 0.00 μB per formula unit
# - VASP energy: -6.83 eV/atom
# - Formation energy from the elements: -0.8075 eV/atom
data_Y2SnGe3Rh4
_symmetry_space_group_name_H-M 'P -4 m 2'
_symmetry_Int_Tables_number 115
_cell_length_a 4.214
_cell_length_b 4.214
_cell_length_c 10.508
_cell_angle_alpha 90.00
_cell_angle_beta 90.00
_cell_angle_gamma 90.00
loop_
_symmetry_equiv_pos_as_xyz
'x,y,z'
'y,-x,-z'
'-x,-y,z'
'-y,x,-z'
'-x,y,z'
'-y,-x,-z'
'x,-y,z'
'y,x,-z'
loop_
_atom_site_label
_atom_site_type_symbol
_atom_site_fract_x
_atom_site_fract_y
_atom_site_fract_z
_atom_site_occupancy
Y1 Y 0.000 0.500 0.243 1
Sn1 Sn 0.000 0.000 0.500 1
Ge1 Ge 0.000 0.500 0.874 1
Ge2 Ge 0.500 0.500 0.500 1
Rh1 Rh 0.000 0.000 0.000 1
Rh2 Rh 0.000 0.500 0.645 1
Rh3 Rh 0.500 0.500 0.000 1

=====

# LiCaNi2 (PBE, optimized geometry)
# - Magnetic moment: 0.00 μB per formula unit
# - VASP energy: -3.73 eV/atom
# - Formation energy from the elements: 0.1419 eV/atom
# - Energy above the most stable polymorph in this dataset: 0.189 eV/atom
data_LiCaNi2
_symmetry_space_group_name_H-M 'P 4/m m m'
_symmetry_Int_Tables_number 123
_symmetry_space_group_name_Hall '-P 4 2'
_cell_length_a 3.991
_cell_length_b 3.991
_cell_length_c 3.916
_cell_angle_alpha 90.00
_cell_angle_beta 90.00
_cell_angle_gamma 90.00
loop_
_atom_site_label
_atom_site_type_symbol
_atom_site_fract_x
_atom_site_fract_y
_atom_site_fract_z
_atom_site_occupancy
Li1 Li 0.000 0.000 0.000 1
Ca1 Ca 0.500 0.500 0.000 1
Ni1 Ni 0.000 0.500 0.500 1

=====

# ErTmNiRh (PBE, optimized geometry)
# - Magnetic moment: 0.00 μB per formula unit
# - VASP energy: -6.24 eV/atom
# - Formation energy from the elements: -0.6948 eV/atom
# - Energy above the most stable polymorph in this dataset: 0.000 eV/atom
data_ErTmNiRh
_symmetry_space_group_name_H-M 'A m m 2'
_symmetry_Int_Tables_number 38
_cell_length_a 4.111
_cell_length_b 3.761
_cell_length_c 10.379
_cell_angle_alpha 90.00
_cell_angle_beta 90.00
_cell_angle_gamma 90.00
loop_
_symmetry_equiv_pos_as_xyz
'x,y,z'
'-x,-y,z'
'-x,y,z'
'x,-y,z'
'x,y+1/2,z+1/2'
'-x,-y+1/2,z+1/2'
'-x,y+1/2,z+1/2'
'x,-y+1/2,z+1/2'
loop_
_atom_site_label
_atom_site_type_symbol
_atom_site_fract_x
_atom_site_fract_y
_atom_site_fract_z
_atom_site_occupancy
Er1 Er 0.000 0.000 0.000 1
Tm1 Tm 0.500 0.000 0.717 1
Ni1 Ni 0.500 0.000 0.438 1
Rh1 Rh 0.000 0.000 0.279 1

=====

# Ce8AlRh2 (PBE, optimized geometry)
# - Magnetic moment: 0.00 μB per formula unit
# - VASP energy: -6.21 eV/atom
# - Formation energy from the elements: -0.2129 eV/atom
data_Ce8AlRh2
_symmetry_space_group_name_H-M 'C 1 2/m 1'
_symmetry_Int_Tables_number 12
_cell_length_a 9.359
_cell_length_b 9.092
_cell_length_c 7.134
_cell_angle_alpha 90.00
_cell_angle_beta 113.00
_cell_angle_gamma 90.00
loop_
_symmetry_equiv_pos_as_xyz
'x,y,z'
'-x,-y,-z'
'-x,y,-z'
'x,-y,z'
'x+1/2,y+1/2,z'
'-x+1/2,-y+1/2,-z'
'-x+1/2,y+1/2,-z'
'x+1/2,-y+1/2,z'
loop_
_atom_site_label
_atom_site_type_symbol
_atom_site_fract_x
_atom_site_fract_y
_atom_site_fract_z
_atom_site_occupancy
Ce1 Ce 0.071 0.214 0.291 1
Ce2 Ce 0.144 0.000 0.751 1
Ce3 Ce 0.246 0.000 0.177 1
Al1 Al 0.000 0.500 0.000 1
Rh1 Rh 0.105 0.500 0.397 1

=====

# In3CS (PBE, optimized geometry)
# - Magnetic moment: 0.00 μB per formula unit
# - VASP energy: -3.67 eV/atom
# - Energy relative to the elements, uncorrected: 647 meV/atom
# - Energy above the most stable polymorph in this dataset: 0.000 eV/atom
data_In3CS
_symmetry_space_group_name_H-M 'P m -3 m'
_symmetry_Int_Tables_number 221
_symmetry_space_group_name_Hall '-P 4 2 3'
_cell_length_a 4.795
_cell_length_b 4.795
_cell_length_c 4.795
_cell_angle_alpha 90.00
_cell_angle_beta 90.00
_cell_angle_gamma 90.00
loop_
_atom_site_label
_atom_site_type_symbol
_atom_site_fract_x
_atom_site_fract_y
_atom_site_fract_z
_atom_site_occupancy
In1 In 0.000 0.000 0.500 1
C1 C 0.000 0.000 0.000 1
S1 S 0.500 0.500 0.500 1

=====

# ZnCuIr2Br (PBE, optimized geometry)
# - Magnetic moment: 0.00 μB per formula unit
# - VASP energy: -3.24 eV/atom
# - Energy relative to the elements, uncorrected: 1710 meV/atom
data_ZnCuIr2Br
_symmetry_space_group_name_H-M 'P 4/m m m'
_symmetry_Int_Tables_number 123
_symmetry_space_group_name_Hall '-P 4 2'
_cell_length_a 4.641
_cell_length_b 4.641
_cell_length_c 4.719
_cell_angle_alpha 90.00
_cell_angle_beta 90.00
_cell_angle_gamma 90.00
loop_
_atom_site_label
_atom_site_type_symbol
_atom_site_fract_x
_atom_site_fract_y
_atom_site_fract_z
_atom_site_occupancy
Zn1 Zn 0.000 0.000 0.000 1
Cu1 Cu 0.500 0.500 0.000 1
Ir1 Ir 0.000 0.500 0.500 1
Br1 Br 0.000 0.000 0.500 1

=====

# LaSc2Ru (PBE, optimized geometry)
# - Magnetic moment: 0.00 μB per formula unit
# - VASP energy: -6.80 eV/atom
# - Formation energy from the elements: -0.0786 eV/atom
# - Energy above the most stable polymorph in this dataset: 0.248 eV/atom
data_LaSc2Ru
_symmetry_space_group_name_H-M 'R -3 m'
_symmetry_Int_Tables_number 166
_symmetry_space_group_name_Hall '-R 3 2"'
_cell_length_a 3.3499
_cell_length_b 3.3499
_cell_length_c 29.2131
_cell_angle_alpha 90.00
_cell_angle_beta 90.00
_cell_angle_gamma 120.00
loop_
_atom_site_label
_atom_site_type_symbol
_atom_site_fract_x
_atom_site_fract_y
_atom_site_fract_z
_atom_site_occupancy
La1 La 0.0000 0.0000 0.0000 1
Sc1 Sc 0.0000 0.0000 0.2296 1
Ru1 Ru 0.0000 0.0000 0.5000 1

=====

# Pr3P2PtRh9 (PBE, optimized geometry)
# - Magnetic moment: 0.00 μB per formula unit
# - VASP energy: -7.02 eV/atom
# - Formation energy from the elements: -0.5292 eV/atom
data_Pr3P2PtRh9
_symmetry_space_group_name_H-M 'P -3 m 1'
_symmetry_Int_Tables_number 164
_symmetry_space_group_name_Hall '-P 3 2"'
_cell_length_a 5.9619
_cell_length_b 5.9619
_cell_length_c 9.3887
_cell_angle_alpha 90.00
_cell_angle_beta 90.00
_cell_angle_gamma 120.00
loop_
_atom_site_label
_atom_site_type_symbol
_atom_site_fract_x
_atom_site_fract_y
_atom_site_fract_z
_atom_site_occupancy
Pr1 Pr 0.0000 0.0000 0.0000 1
Pr2 Pr 0.3333 0.6667 0.6213 1
P1 P 0.3333 0.6667 0.1581 1
Pt1 Pt 0.0000 0.0000 0.5000 1
Rh1 Rh 0.0000 0.5000 0.0000 1
Rh2 Rh 0.1522 0.3043 0.2782 1

=====

# PrEr2Pd (PBE, optimized geometry)
# - Magnetic moment: 0.00 μB per formula unit
# - VASP energy: -5.22 eV/atom
# - Formation energy from the elements: -0.4486 eV/atom
# - Energy above the most stable polymorph in this dataset: 0.011 eV/atom
data_PrEr2Pd
_symmetry_space_group_name_H-M 'P 1 21/m 1'
_symmetry_Int_Tables_number 11
_cell_length_a 3.776
_cell_length_b 9.197
_cell_length_c 6.623
_cell_angle_alpha 90.00
_cell_angle_beta 106.48
_cell_angle_gamma 90.00
loop_
_symmetry_equiv_pos_as_xyz
'x,y,z'
'-x,-y,-z'
'-x,y+1/2,-z'
'x,-y+1/2,z'
loop_
_atom_site_label
_atom_site_type_symbol
_atom_site_fract_x
_atom_site_fract_y
_atom_site_fract_z
_atom_site_occupancy
Pr1 Pr 0.056 0.250 0.114 1
Er1 Er 0.362 0.059 0.723 1
Pd1 Pd 0.237 0.750 0.475 1